# 1
This record from Alexandria describes Cs2BiSb2O6 after structural relaxation. The functional is PBE.

```
data_Cs2BiSb2O6
_symmetry_space_group_name_H-M 'P 1'
_symmetry_Int_Tables_number 1
_symmetry_space_group_name_Hall 'P 1'
_cell_length_a 6.443
_cell_length_b 6.443
_cell_length_c 8.787
_cell_angle_alpha 116.29
_cell_angle_beta 116.29
_cell_angle_gamma 60.04
loop_
_atom_site_label
_atom_site_type_symbol
_atom_site_fract_x
_atom_site_fract_y
_atom_site_fract_z
Cs1 Cs 0.236 0.236 0.272
Cs2 Cs 0.764 0.764 0.728
Bi1 Bi 0.000 0.000 0.500
Sb1 Sb 0.449 0.449 0.776
Sb2 Sb 0.551 0.551 0.224
O1 O 0.246 0.246 0.645
O2 O 0.256 0.741 0.310
O3 O 0.259 0.744 0.690
O4 O 0.741 0.256 0.310
O5 O 0.744 0.259 0.690
O6 O 0.754 0.754 0.355
```

Values from the calculation:
SG: C2/m
V in Å³/atom: 24.7
Uncorrected formation energy in kJ/mol of atoms: -126.3
Density in g/cm³: 5.0
DFT total energy in eV/atom: -5.2713

---

# 2
This record from Alexandria describes CsSiBiO4 after structural relaxation. The functional is PBE.

```
data_CsSiBiO4
_symmetry_space_group_name_H-M 'P 1'
_symmetry_Int_Tables_number 1
_symmetry_space_group_name_Hall 'P 1'
_cell_length_a 6.131
_cell_length_b 5.873
_cell_length_c 7.992
_cell_angle_alpha 90.00
_cell_angle_beta 108.30
_cell_angle_gamma 90.00
loop_
_atom_site_label
_atom_site_type_symbol
_atom_site_fract_x
_atom_site_fract_y
_atom_site_fract_z
Cs1 Cs 0.206 0.250 0.448
Cs2 Cs 0.794 0.750 0.552
Si1 Si 0.241 0.750 0.153
Si2 Si 0.759 0.250 0.847
Bi1 Bi 0.268 0.250 0.972
Bi2 Bi 0.732 0.750 0.028
O1 O 0.051 0.750 0.951
O2 O 0.091 0.750 0.290
O3 O 0.412 0.525 0.173
O4 O 0.412 0.975 0.173
O5 O 0.588 0.025 0.827
O6 O 0.588 0.475 0.827
O7 O 0.909 0.250 0.710
O8 O 0.949 0.250 0.049
```

Values from the calculation:
SG: P2_1/m
V in Å³/atom: 19.5
Uncorrected formation energy in kJ/mol of atoms: -197.5
Density in g/cm³: 5.3
DFT total energy in eV/atom: -6.3313

---

# 3
This record from Alexandria describes Cs2Sm2BiO6 after structural relaxation. The functional is PBE.

```
data_Cs2Sm2BiO6
_symmetry_space_group_name_H-M 'P 1'
_symmetry_Int_Tables_number 1
_symmetry_space_group_name_Hall 'P 1'
_cell_length_a 6.205
_cell_length_b 6.205
_cell_length_c 7.360
_cell_angle_alpha 97.83
_cell_angle_beta 97.83
_cell_angle_gamma 119.88
loop_
_atom_site_label
_atom_site_type_symbol
_atom_site_fract_x
_atom_site_fract_y
_atom_site_fract_z
Cs1 Cs 0.166 0.834 0.000
Cs2 Cs 0.834 0.166 0.000
Sm1 Sm 0.334 0.666 0.500
Sm2 Sm 0.666 0.334 0.500
Bi1 Bi 0.000 0.000 0.500
O1 O 0.048 0.379 0.661
O2 O 0.269 0.269 0.338
O3 O 0.379 0.048 0.661
O4 O 0.621 0.952 0.339
O5 O 0.731 0.731 0.662
O6 O 0.952 0.621 0.339
```

Values from the calculation:
SG: C2/m
V in Å³/atom: 21.5
Uncorrected formation energy in kJ/mol of atoms: -208.7
Density in g/cm³: 6.1
DFT total energy in eV/atom: -6.2332

---

# 4
This record from Alexandria describes Cs2SmBiO4 after structural relaxation. The functional is PBE.

```
data_Cs2SmBiO4
_symmetry_space_group_name_H-M 'P 1'
_symmetry_Int_Tables_number 1
_symmetry_space_group_name_Hall 'P 1'
_cell_length_a 6.369
_cell_length_b 3.676
_cell_length_c 7.244
_cell_angle_alpha 90.00
_cell_angle_beta 107.00
_cell_angle_gamma 90.00
loop_
_atom_site_label
_atom_site_type_symbol
_atom_site_fract_x
_atom_site_fract_y
_atom_site_fract_z
Cs1 Cs 0.000 0.000 0.000
Cs2 Cs 0.500 0.500 0.000
Sm1 Sm 0.000 0.500 0.500
Bi1 Bi 0.500 0.000 0.500
O1 O 0.217 0.000 0.671
O2 O 0.267 0.500 0.324
O3 O 0.733 0.500 0.676
O4 O 0.783 0.000 0.329
```

Values from the calculation:
SG: P2/m
V in Å³/atom: 20.3
Uncorrected formation energy in kJ/mol of atoms: -182.4
Density in g/cm³: 7.1
DFT total energy in eV/atom: -5.6576

---

# 5
This record from Alexandria describes Cs3Sm3BiO8 after structural relaxation. The functional is PBE.

```
data_Cs3Sm3BiO8
_symmetry_space_group_name_H-M 'P 1'
_symmetry_Int_Tables_number 1
_symmetry_space_group_name_Hall 'P 1'
_cell_length_a 8.166
_cell_length_b 8.166
_cell_length_c 8.166
_cell_angle_alpha 52.37
_cell_angle_beta 52.37
_cell_angle_gamma 52.37
loop_
_atom_site_label
_atom_site_type_symbol
_atom_site_fract_x
_atom_site_fract_y
_atom_site_fract_z
Cs1 Cs 0.000 0.500 0.500
Cs2 Cs 0.500 0.000 0.500
Cs3 Cs 0.500 0.500 0.000
Sm1 Sm 0.000 0.000 0.500
Sm2 Sm 0.000 0.500 0.000
Sm3 Sm 0.500 0.000 0.000
Bi1 Bi 0.500 0.500 0.500
O1 O 0.220 0.220 0.220
O2 O 0.232 0.716 0.716
O3 O 0.284 0.284 0.768
O4 O 0.284 0.768 0.284
O5 O 0.716 0.232 0.716
O6 O 0.716 0.716 0.232
O7 O 0.768 0.284 0.284
O8 O 0.780 0.780 0.780
```

Values from the calculation:
SG: R-3m
V in Å³/atom: 21.1
Uncorrected formation energy in kJ/mol of atoms: -220.1
Density in g/cm³: 6.2
DFT total energy in eV/atom: -6.2986

---

# 6
This record from Alexandria describes Cs4Sm3BiO8 after structural relaxation. The functional is PBE.

```
data_Cs4Sm3BiO8
_symmetry_space_group_name_H-M 'P 1'
_symmetry_Int_Tables_number 1
_symmetry_space_group_name_Hall 'P 1'
_cell_length_a 8.122
_cell_length_b 8.122
_cell_length_c 8.122
_cell_angle_alpha 53.62
_cell_angle_beta 53.62
_cell_angle_gamma 53.62
loop_
_atom_site_label
_atom_site_type_symbol
_atom_site_fract_x
_atom_site_fract_y
_atom_site_fract_z
Cs1 Cs 0.000 0.000 0.000
Cs2 Cs 0.000 0.500 0.500
Cs3 Cs 0.500 0.000 0.500
Cs4 Cs 0.500 0.500 0.000
Sm1 Sm 0.000 0.000 0.500
Sm2 Sm 0.000 0.500 0.000
Sm3 Sm 0.500 0.000 0.000
Bi1 Bi 0.500 0.500 0.500
O1 O 0.217 0.727 0.727
O2 O 0.222 0.222 0.222
O3 O 0.273 0.273 0.783
O4 O 0.273 0.783 0.273
O5 O 0.727 0.217 0.727
O6 O 0.727 0.727 0.217
O7 O 0.778 0.778 0.778
O8 O 0.783 0.273 0.273
```

Values from the calculation:
SG: R-3m
V in Å³/atom: 20.1
Uncorrected formation energy in kJ/mol of atoms: -214.5
Density in g/cm³: 6.8
DFT total energy in eV/atom: -6.0432

---

# 7
This record from Alexandria describes Cs12Sn2Bi6O after structural relaxation. The functional is PBE.

```
data_Cs12Sn2Bi6O
_symmetry_space_group_name_H-M 'P 1'
_symmetry_Int_Tables_number 1
_symmetry_space_group_name_Hall 'P 1'
_cell_length_a 13.127
_cell_length_b 13.127
_cell_length_c 6.808
_cell_angle_alpha 90.00
_cell_angle_beta 90.00
_cell_angle_gamma 120.00
loop_
_atom_site_label
_atom_site_type_symbol
_atom_site_fract_x
_atom_site_fract_y
_atom_site_fract_z
Cs1 Cs 0.094 0.547 0.251
Cs2 Cs 0.111 0.223 0.224
Cs3 Cs 0.111 0.889 0.224
Cs4 Cs 0.223 0.111 0.776
Cs5 Cs 0.453 0.547 0.251
Cs6 Cs 0.453 0.906 0.251
Cs7 Cs 0.547 0.094 0.749
Cs8 Cs 0.547 0.453 0.749
Cs9 Cs 0.777 0.889 0.224
Cs10 Cs 0.889 0.111 0.776
Cs11 Cs 0.889 0.777 0.776
Cs12 Cs 0.906 0.453 0.749
Sn1 Sn 0.333 0.667 0.751
Sn2 Sn 0.667 0.333 0.249
Bi1 Bi 0.208 0.415 0.744
Bi2 Bi 0.208 0.792 0.744
Bi3 Bi 0.415 0.208 0.256
Bi4 Bi 0.585 0.792 0.744
Bi5 Bi 0.792 0.208 0.256
Bi6 Bi 0.792 0.585 0.256
O1 O 0.000 0.000 0.000
```

Values from the calculation:
SG: P-3m1
V in Å³/atom: 48.4
Uncorrected formation energy in kJ/mol of atoms: -45.6
Density in g/cm³: 5.1
DFT total energy in eV/atom: -2.6869

---

# 8
This record from Alexandria describes Cs2SnBiO after structural relaxation. The functional is PBE.

```
data_Cs2SnBiO
_symmetry_space_group_name_H-M 'P 1'
_symmetry_Int_Tables_number 1
_symmetry_space_group_name_Hall 'P 1'
_cell_length_a 8.050
_cell_length_b 5.565
_cell_length_c 9.082
_cell_angle_alpha 90.00
_cell_angle_beta 107.44
_cell_angle_gamma 90.00
loop_
_atom_site_label
_atom_site_type_symbol
_atom_site_fract_x
_atom_site_fract_y
_atom_site_fract_z
Cs1 Cs 0.112 0.250 0.361
Cs2 Cs 0.205 0.250 0.948
Cs3 Cs 0.795 0.750 0.052
Cs4 Cs 0.888 0.750 0.639
Sn1 Sn 0.422 0.750 0.329
Sn2 Sn 0.578 0.250 0.671
Bi1 Bi 0.407 0.750 0.674
Bi2 Bi 0.593 0.250 0.326
O1 O 0.171 0.750 0.198
O2 O 0.829 0.250 0.802
```

Values from the calculation:
SG: P2_1/m
V in Å³/atom: 38.8
Uncorrected formation energy in kJ/mol of atoms: -76.2
Density in g/cm³: 5.2
DFT total energy in eV/atom: -3.6996